Entry 1:
DFT (PBE-GGA) results for a relaxed structure of Cs2BiCl3F3.

abc: 3.665 8.805 8.805
angles: 120.00 90.00 90.00
Positions (direct):
Bi: 0.000 0.000 0.000
Cl: 0.000 0.347 0.000
Cl: 0.000 0.000 0.347
Cl: 0.000 0.653 0.653
F: 0.500 0.000 0.823
F: 0.500 0.823 0.000
F: 0.500 0.177 0.177
Cs: 0.500 0.333 0.667
Cs: 0.500 0.667 0.333

VASP energy	-3.61	eV per atom
symmetry	P-62m
formation energy (no corrections)	-1.75	eV per atom
DOS at the Fermi energy	6.3	states/eV/f.u.

Entry 2:
DFT (PBE-GGA) results for a relaxed structure of TlCo2Au.

abc: 3.435 3.051 6.756
angles: 63.17 90.00 90.00
Positions (direct):
Tl: 0.500 0.250 0.250
Au: 0.500 0.750 0.750
Co: 0.000 0.476 0.523
Co: 0.000 0.024 0.977

E_form	0.4735	eV per atom
VASP energy	-4.49	eV per atom
symmetry	Pmmm
DOS at the Fermi energy	6.0	states/eV/f.u.

Entry 3:
DFT (PBE-GGA) results for a relaxed structure of LaLuCdGe.

abc: 5.236 5.236 5.236
angles: 60.00 60.00 60.00
Positions (direct):
Lu: 0.000 0.000 0.000
Cd: 0.250 0.250 0.250
La: 0.500 0.500 0.500
Ge: 0.750 0.750 0.750

E_form	-0.4571	eV per atom
VASP energy	-4.20	eV per atom
symmetry	F-43m
DOS at the Fermi energy	2.7	states/eV/f.u.

Entry 4:
DFT (PBE-GGA) results for a relaxed structure of LiSb2N.

abc: 6.861 6.861 5.963
angles: 54.88 54.88 90.00
Positions (direct):
Sb: 0.703 0.125 0.250
Sb: 0.375 0.297 0.750
Sb: 0.875 0.953 0.750
Sb: 0.047 0.625 0.250
Li: 0.500 0.500 0.000
Li: 0.250 0.750 0.500
N: 0.000 0.000 0.000
N: 0.750 0.250 0.500

VASP energy	-4.27	eV per atom
symmetry	I-42d
formation energy (no corrections)	0.35	eV per atom
DOS at the Fermi energy	1.2	states/eV/f.u.

Entry 5:
DFT (PBE-GGA) results for a relaxed structure of La4TlIn2Ag.

abc: 5.547 5.547 9.721
angles: 73.42 73.42 60.00
Positions (direct):
Ag: 0.500 0.500 0.500
In: 0.251 0.251 0.247
In: 0.749 0.749 0.753
La: 0.871 0.871 0.387
La: 0.378 0.378 0.865
La: 0.622 0.622 0.135
La: 0.129 0.129 0.613
Tl: 0.000 0.000 0.000

E_form	-0.4131	eV per atom
VASP energy	-4.21	eV per atom
symmetry	R-3m
DOS at the Fermi energy	11.0	states/eV/f.u.

Entry 6:
DFT (PBE-GGA) results for a relaxed structure of LaTb2YAs4.

abc: 4.199 7.265 7.268
angles: 109.43 90.00 90.00
Positions (direct):
Y: 0.000 0.000 0.000
As: 0.500 0.246 0.254
As: 0.500 0.754 0.746
As: 0.000 0.758 0.258
As: 0.000 0.242 0.742
La: 0.500 0.500 0.000
Tb: 0.000 0.500 0.500
Tb: 0.500 0.000 0.500

E_form	-1.5400	eV per atom
VASP energy	-6.45	eV per atom
symmetry	P2/m
DOS at the Fermi energy	0.8	states/eV/f.u.

Entry 7:
DFT (PBE-GGA) results for a relaxed structure of UIrPt.

abc: 2.900 4.658 4.658
angles: 120.00 90.00 90.00
Positions (direct):
Ir: 0.167 0.333 0.667
U: 0.666 0.667 0.333
Pt: 0.166 0.000 0.000

E_form	-0.4230	eV per atom
VASP energy	-9.15	eV per atom
symmetry	P-6m2
DOS at the Fermi energy	4.8	states/eV/f.u.

Entry 8:
DFT (PBE-GGA) results for a relaxed structure of MgCrNi2N.

abc: 3.894 3.894 3.769
angles: 90.00 90.00 90.00
Positions (direct):
Ni: 0.000 0.500 0.000
Ni: 0.500 0.000 0.000
Cr: 0.000 0.000 0.500
Mg: 0.500 0.500 0.500
N: 0.000 0.000 0.000

VASP energy	-6.40	eV per atom
symmetry	P4/mmm
formation energy (no corrections)	-0.18	eV per atom
DOS at the Fermi energy	2.1	states/eV/f.u.

Entry 9:
DFT (PBE-GGA) results for a relaxed structure of ZnGaNO2.

abc: 3.887 3.887 3.858
angles: 90.00 90.00 90.00
Positions (direct):
Zn: 0.500 0.500 0.500
O: 0.500 0.000 0.000
O: 0.000 0.500 0.000
N: 0.000 0.000 0.500
Ga: 0.000 0.000 0.000

VASP energy	-4.42	eV per atom
symmetry	P4/mmm
formation energy (no corrections)	0.09	eV per atom
DOS at the Fermi energy	1.5	states/eV/f.u.

Entry 10:
DFT (PBE-GGA) results for a relaxed structure of Sr2Br.

abc: 8.525 8.525 8.525
angles: 152.18 150.80 40.77
Positions (direct):
Sr: 0.345 0.845 0.500
Sr: 0.655 0.155 0.500
Br: 0.500 0.500 0.000

VASP energy	-2.59	eV per atom
symmetry	Immm
offset from the most stable computed form	49.3	meV per atom
formation energy (no corrections)	-0.91	eV per atom
DOS at the Fermi energy	2.7	states/eV/f.u.

Entry 11:
DFT (PBE-GGA) results for a relaxed structure of ZnPS2F.

abc: 4.550 4.550 4.769
angles: 90.00 90.00 90.00
Positions (direct):
F: 0.500 0.500 0.500
Zn: 0.000 0.000 0.000
S: 0.000 0.500 0.000
S: 0.500 0.000 0.000
P: 0.000 0.000 0.500

VASP energy	-2.68	eV per atom
symmetry	P4/mmm
offset from the most stable computed form	31.9	meV per atom
formation energy (no corrections)	0.69	eV per atom
DOS at the Fermi energy	4.3	states/eV/f.u.

Entry 12:
DFT (PBE-GGA) results for a relaxed structure of BaNd2BeO5.

abc: 6.767 7.462 9.853
angles: 89.18 90.00 90.00
Positions (direct):
O: 0.665 0.715 0.215
O: 0.835 0.715 0.715
O: 0.165 0.285 0.285
O: 0.369 0.720 0.768
O: 0.018 0.281 0.990
O: 0.482 0.281 0.490
O: 0.869 0.280 0.732
O: 0.808 0.069 0.438
O: 0.982 0.719 0.010
O: 0.179 0.559 0.566
O: 0.131 0.720 0.268
O: 0.518 0.719 0.510
O: 0.192 0.931 0.562
O: 0.335 0.285 0.785
O: 0.679 0.441 0.934
O: 0.308 0.931 0.062
O: 0.321 0.559 0.066
O: 0.631 0.280 0.232
O: 0.821 0.441 0.434
O: 0.692 0.069 0.938
Nd: 0.583 0.479 0.676
Nd: 0.591 0.743 0.979
Nd: 0.909 0.743 0.479
Nd: 0.917 0.479 0.176
Nd: 0.409 0.257 0.021
Nd: 0.417 0.521 0.324
Nd: 0.091 0.257 0.521
Nd: 0.083 0.521 0.824
Ba: 0.082 0.980 0.827
Ba: 0.918 0.020 0.173
Ba: 0.582 0.020 0.673
Ba: 0.418 0.980 0.327
Be: 0.807 0.261 0.903
Be: 0.693 0.261 0.403
Be: 0.193 0.739 0.097
Be: 0.307 0.739 0.597

VASP energy	-7.49	eV per atom
symmetry	P2_1/c
formation energy (no corrections)	-3.05	eV per atom
DOS at the Fermi energy	0.0	states/eV/f.u.

Entry 13:
DFT (PBE-GGA) results for a relaxed structure of LiTc2P.

abc: 2.778 2.778 8.246
angles: 90.00 90.00 115.54
Positions (direct):
Tc: 0.000 0.000 0.969
Tc: 0.000 0.000 0.531
Li: 0.500 0.500 0.250
P: 0.500 0.500 0.750

E_form	0.1500	eV per atom
VASP energy	-6.86	eV per atom
symmetry	Cmmm
DOS at the Fermi energy	3.0	states/eV/f.u.

Entry 14:
DFT (PBE-GGA) results for a relaxed structure of NbBiO3.

abc: 3.993 6.190 8.488
angles: 114.67 103.60 90.00
Positions (direct):
O: 0.854 0.507 0.709
O: 0.300 0.099 0.600
O: 0.943 0.170 0.886
O: 0.146 0.493 0.291
O: 0.700 0.901 0.400
O: 0.057 0.830 0.114
Nb: 0.832 0.189 0.663
Nb: 0.168 0.811 0.337
Bi: 0.539 0.277 0.079
Bi: 0.461 0.723 0.921

VASP energy	-7.50	eV per atom
symmetry	C2/m
formation energy (no corrections)	-1.73	eV per atom
DOS at the Fermi energy	2.3	states/eV/f.u.

Entry 15:
DFT (PBE-GGA) results for a relaxed structure of TcSn2MoPd.

abc: 4.997 4.761 4.997
angles: 90.00 90.00 90.00
Positions (direct):
Mo: 0.500 0.500 0.500
Sn: 0.500 0.000 0.000
Sn: 0.000 0.000 0.500
Tc: 0.000 0.000 0.000
Pd: 0.000 0.500 0.000

E_form	1.3972	eV per atom
VASP energy	-5.48	eV per atom
symmetry	P4/mmm
DOS at the Fermi energy	11.9	states/eV/f.u.

Entry 16:
DFT (PBE-GGA) results for a relaxed structure of Cr2CS.

abc: 4.862 4.862 5.861
angles: 65.49 65.49 90.00
Positions (direct):
C: 0.250 0.750 0.500
C: 0.500 0.500 0.000
S: 0.750 0.250 0.500
S: 0.000 0.000 0.000
Cr: 0.375 0.435 0.750
Cr: 0.565 0.125 0.250
Cr: 0.185 0.625 0.250
Cr: 0.875 0.815 0.750

VASP energy	-8.11	eV per atom
symmetry	I-42d
formation energy (no corrections)	0.04	eV per atom
DOS at the Fermi energy	2.5	states/eV/f.u.

Entry 17:
DFT (PBE-GGA) results for a relaxed structure of La8CdN4.

abc: 7.946 7.946 7.946
angles: 60.00 60.00 60.00
Positions (direct):
La: 0.602 0.194 0.602
La: 0.141 0.577 0.141
La: 0.194 0.602 0.602
La: 0.602 0.602 0.194
La: 0.602 0.602 0.602
La: 0.577 0.141 0.141
La: 0.141 0.141 0.141
La: 0.141 0.141 0.577
N: 0.372 0.885 0.372
N: 0.372 0.372 0.885
N: 0.372 0.372 0.372
N: 0.885 0.372 0.372
Cd: 0.750 0.750 0.750

VASP energy	-6.35	eV per atom
symmetry	F-43m
formation energy (no corrections)	-0.69	eV per atom
DOS at the Fermi energy	11.7	states/eV/f.u.

Entry 18:
DFT (PBE-GGA) results for a relaxed structure of HfPaMnSe6.

abc: 6.291 6.559 6.559
angles: 120.00 90.00 90.00
Positions (direct):
Se: 0.262 0.325 0.319
Se: 0.262 0.994 0.675
Se: 0.738 0.325 0.006
Se: 0.262 0.681 0.006
Se: 0.738 0.681 0.675
Se: 0.738 0.994 0.319
Mn: 0.500 0.000 0.000
Pa: 0.000 0.333 0.667
Hf: 0.500 0.667 0.333

VASP energy	-6.43	eV per atom
symmetry	P312
formation energy (no corrections)	-0.92	eV per atom
DOS at the Fermi energy	4.7	states/eV/f.u.

Entry 19:
DFT (PBE-GGA) results for a relaxed structure of NaSm3Bi4.

abc: 6.461 6.461 6.461
angles: 90.00 90.00 90.00
Positions (direct):
Sm: 0.500 0.500 0.000
Sm: 0.500 0.000 0.500
Sm: 0.000 0.500 0.500
Na: 0.000 0.000 0.000
Bi: 0.000 0.500 0.000
Bi: 0.000 0.000 0.500
Bi: 0.500 0.500 0.500
Bi: 0.500 0.000 0.000

E_form	-0.6318	eV per atom
VASP energy	-4.51	eV per atom
symmetry	Pm-3m
DOS at the Fermi energy	5.2	states/eV/f.u.

Entry 20:
DFT (PBE-GGA) results for a relaxed structure of BeNCl2F.

abc: 4.381 3.687 4.381
angles: 90.00 90.00 90.00
Positions (direct):
Cl: 0.500 0.000 0.000
Cl: 0.000 0.000 0.500
Be: 0.500 0.500 0.500
F: 0.000 0.500 0.000
N: 0.000 0.000 0.000

VASP energy	-2.64	eV per atom
symmetry	P4/mmm
formation energy (no corrections)	0.88	eV per atom
DOS at the Fermi energy	1.6	states/eV/f.u.

Entry 21:
DFT (PBE-GGA) results for a relaxed structure of NpCoH6Pd.

abc: 4.550 4.550 4.104
angles: 90.00 90.00 60.00
Positions (direct):
H: 0.482 0.482 0.229
H: 0.036 0.482 0.771
H: 0.482 0.482 0.771
H: 0.482 0.036 0.771
H: 0.482 0.036 0.229
H: 0.036 0.482 0.229
Np: 0.000 0.000 0.000
Pd: 0.667 0.667 0.500
Co: 0.333 0.333 0.500

VASP energy	-5.16	eV per atom
symmetry	P-6m2
DOS at the Fermi energy	11.8	states/eV/f.u.

Entry 22:
DFT (PBE-GGA) results for a relaxed structure of Tb4ErZn2.

abc: 5.404 5.404 8.094
angles: 70.50 70.50 60.00
Positions (direct):
Tb: 0.579 0.579 0.263
Tb: 0.257 0.257 0.229
Tb: 0.743 0.743 0.771
Tb: 0.421 0.421 0.737
Zn: 0.875 0.875 0.375
Zn: 0.125 0.125 0.625
Er: 0.000 0.000 0.000

E_form	0.0501	eV per atom
VASP energy	-3.61	eV per atom
symmetry	R-3m
DOS at the Fermi energy	8.1	states/eV/f.u.

Entry 23:
DFT (PBE-GGA) results for a relaxed structure of Y3Tm2N4.

abc: 3.461 3.461 14.321
angles: 90.05 89.95 120.00
Positions (direct):
N: 0.999 0.001 0.296
N: 0.666 0.334 0.102
N: 0.334 0.666 0.898
N: 0.001 0.999 0.704
Y: 0.000 0.000 0.000
Y: 0.334 0.666 0.616
Y: 0.666 0.334 0.384
Tm: 0.667 0.333 0.808
Tm: 0.333 0.667 0.192

VASP energy	-8.38	eV per atom
symmetry	C2/m
formation energy (no corrections)	-1.54	eV per atom
DOS at the Fermi energy	4.0	states/eV/f.u.

Entry 24:
DFT (PBE-GGA) results for a relaxed structure of Pr5TmPb4.

abc: 5.505 7.378 11.483
angles: 129.05 103.87 90.00
Positions (direct):
Pr: 0.500 0.500 0.000
Pr: 0.834 0.165 0.668
Pr: 0.833 0.672 0.666
Pr: 0.166 0.835 0.332
Pr: 0.167 0.328 0.334
Pb: 0.008 0.258 0.016
Pb: 0.673 0.098 0.345
Pb: 0.327 0.902 0.655
Pb: 0.992 0.742 0.984
Tm: 0.500 0.000 0.000

E_form	-0.3686	eV per atom
VASP energy	-4.69	eV per atom
symmetry	C2/m
DOS at the Fermi energy	7.1	states/eV/f.u.